(1)
Entry from Alexandria via LeMat-Bulk: a relaxed structure of ErHfSc2S6 (PBE).

Cell: 7.070 7.070 7.070 Å, 54.95 54.95 54.95°
Atoms (fractional coordinates):
Er 0.000 0.000 0.000
Hf 0.505 0.505 0.505
Sc 0.191 0.191 0.191
Sc 0.693 0.693 0.693
S 0.104 0.416 0.780
S 0.302 0.909 0.581
S 0.416 0.780 0.104
S 0.581 0.302 0.909
S 0.780 0.104 0.416
S 0.909 0.581 0.302

Computed properties:
- Space group: No. 146
- VASP energy: -6.99 eV/atom
- Calculated density: 4.729 Mg/m³

=====

(2)
Entry from Alexandria via LeMat-Bulk: a relaxed structure of CaErAlIn (PBE).

Cell: 5.254 5.254 5.254 Å, 60.00 60.00 60.00°
Atoms (fractional coordinates):
Ca 0.000 0.000 0.000
Er 0.500 0.500 0.500
Al 0.750 0.750 0.750
In 0.250 0.250 0.250

Computed properties:
- Energy relative to the elements: -1.3 eV/f.u.
- Space group: No. 216
- Calculated density: 5.653 Mg/m³

=====

(3)
Entry from Alexandria via LeMat-Bulk: a relaxed structure of LiHoTiTc (PBE).

Cell: 4.645 4.645 4.645 Å, 60.00 60.00 60.00°
Atoms (fractional coordinates):
Li 0.000 0.000 0.000
Ho 0.250 0.250 0.250
Ti 0.750 0.750 0.750
Tc 0.500 0.500 0.500

Computed properties:
- Energy relative to the elements: -0.1 eV/f.u.
- Space group: No. 216
- Calculated density: 7.445 Mg/m³

=====

(4)
Entry from Alexandria via LeMat-Bulk: a relaxed structure of Tl3CoP (PBE).

Cell: 5.315 5.315 5.315 Å, 90.00 90.00 90.00°
Atoms (fractional coordinates):
Tl 0.000 0.000 0.500
Tl 0.000 0.500 0.000
Tl 0.500 0.000 0.000
Co 0.500 0.500 0.500
P 0.000 0.000 0.000

Computed properties:
- Energy relative to the elements: 5.0 eV/f.u.
- Space group: No. 221
- Calculated density: 7.773 Mg/m³

=====

(5)
Entry from Alexandria via LeMat-Bulk: a relaxed structure of MgAlHg4 (PBE).

Cell: 5.969 5.969 5.969 Å, 60.00 60.00 60.00°
Atoms (fractional coordinates):
Mg 0.000 0.000 0.000
Al 0.750 0.750 0.750
Hg 0.375 0.375 0.375
Hg 0.375 0.375 0.875
Hg 0.375 0.875 0.375
Hg 0.875 0.375 0.375

Computed properties:
- Energy relative to the elements: 1.4 eV/f.u.
- Space group: No. 216
- Calculated density: 9.428 Mg/m³